[1]
CuPAu4 | Alexandria | PBEsol | optimized geometry; energy relative to the elements = 0.5329 eV per atom
1.0
0.0000 3.7791 3.7791
3.7791 0.0000 3.7791
3.7791 3.7791 0.0000
Cu P Au
1 1 4
direct
0.0000 0.0000 0.0000 Cu
0.7500 0.7500 0.7500 P
0.3749 0.3749 0.3749 Au
0.3749 0.3749 0.8754 Au
0.3749 0.8754 0.3749 Au
0.8754 0.3749 0.3749 Au

***

[2]
SiOs4 | Alexandria | PBEsol | optimized geometry; formation energy from raw total energies = 6.05 eV/f.u.
1.0
5.4241 0.0000 0.0000
0.0000 5.4241 0.0000
0.0000 0.0000 5.4241
Si Os
2 8
direct
0.0000 0.0000 0.0000 Si
0.5000 0.5000 0.5000 Si
0.2500 0.2500 0.2500 Os
0.2500 0.2500 0.7500 Os
0.2500 0.7500 0.2500 Os
0.2500 0.7500 0.7500 Os
0.7500 0.2500 0.2500 Os
0.7500 0.2500 0.7500 Os
0.7500 0.7500 0.2500 Os
0.7500 0.7500 0.7500 Os

***

[3]
K2TeSe2 | Alexandria | PBEsol | optimized geometry; formation energy from raw total energies = -3.59 eV/f.u.
1.0
7.7548 0.0000 0.0000
0.0000 7.7548 0.0000
0.0000 0.0000 4.8213
K Te Se
4 2 4
direct
0.1492 0.3508 0.0000 K
0.3508 0.8508 0.0000 K
0.6492 0.1492 0.0000 K
0.8508 0.6492 0.0000 K
0.0000 0.0000 0.5000 Te
0.5000 0.5000 0.5000 Te
0.1645 0.6645 0.5000 Se
0.3355 0.1645 0.5000 Se
0.6645 0.8355 0.5000 Se
0.8355 0.3355 0.5000 Se

***

[4]
Ba2MgBe | Alexandria | PBEsol | optimized geometry; offset from the most stable computed form = 0.0 meV per atom; energy relative to the elements = 0.3450 eV per atom
1.0
3.7342 0.0000 0.0000
0.0000 3.7342 0.0000
0.0000 0.0000 9.5708
Ba Mg Be
2 1 1
direct
0.0000 0.0000 0.0000 Ba
0.5000 0.5000 0.3894 Ba
0.0000 0.0000 0.6538 Mg
0.5000 0.5000 0.7685 Be

***

[5]
Tc2IrW | Alexandria | PBEsol | optimized geometry; offset from the most stable computed form = 167.5 meV per atom; energy relative to the elements = 0.0324 eV per atom
1.0
2.7111 0.0000 0.0000
0.0000 2.7111 0.0000
0.0000 0.0000 7.8811
Tc Ir W
2 1 1
direct
0.0000 0.0000 0.2422 Tc
0.0000 0.0000 0.7578 Tc
0.5000 0.5000 0.0000 Ir
0.5000 0.5000 0.5000 W

***

[6]
MnSb3N | Alexandria | PBEsol | optimized geometry; formation energy from raw total energies = 3.23 eV/f.u.
1.0
4.6391 0.0000 0.0000
0.0000 4.6391 0.0000
0.0000 0.0000 4.6391
Mn Sb N
1 3 1
direct
0.0000 0.0000 0.0000 Mn
0.0000 0.5000 0.5000 Sb
0.5000 0.0000 0.5000 Sb
0.5000 0.5000 0.0000 Sb
0.5000 0.5000 0.5000 N

***

[7]
Mn3P6WO24 | Alexandria | PBEsol | optimized geometry; formation energy from raw total energies = -68.33 eV/f.u.
1.0
4.0977 2.3658 7.2044
-4.0977 2.3658 7.2044
0.0000 -4.7316 7.2044
Mn P W O
3 6 1 24
direct
0.0000 0.0000 0.0000 Mn
0.2132 0.2132 0.2132 Mn
0.5074 0.5074 0.5074 Mn
0.1216 0.8324 0.3791 P
0.3148 0.6099 0.8923 P
0.3791 0.1216 0.8324 P
0.6099 0.8923 0.3148 P
0.8324 0.3791 0.1216 P
0.8923 0.3148 0.6099 P
0.7195 0.7195 0.7195 W
0.0304 0.3753 0.0844 O
0.0440 0.3429 0.3988 O
0.0628 0.8540 0.2288 O
0.0844 0.0304 0.3753 O
0.1143 0.7573 0.9701 O
0.2288 0.0628 0.8540 O
0.3265 0.6742 0.3696 O
0.3392 0.6394 0.6878 O
0.3429 0.3988 0.0440 O
0.3696 0.3265 0.6742 O
0.3753 0.0844 0.0304 O
0.3988 0.0440 0.3429 O
0.4821 0.6628 0.8580 O
0.5865 0.9632 0.7588 O
0.6394 0.6878 0.3392 O
0.6628 0.8580 0.4821 O
0.6742 0.3696 0.3265 O
0.6878 0.3392 0.6394 O
0.7573 0.9701 0.1143 O
0.7588 0.5865 0.9632 O
0.8540 0.2288 0.0628 O
0.8580 0.4821 0.6628 O
0.9632 0.7588 0.5865 O
0.9701 0.1143 0.7573 O

***

[8]
ZnSbPb2 | Alexandria | PBEsol | optimized geometry; offset from the most stable computed form = 38.6 meV per atom; formation energy from raw total energies = 0.60 eV/f.u.
1.0
4.3689 0.0000 0.0000
0.0000 5.2192 0.0000
0.0000 0.0000 9.1132
Zn Sb Pb
2 2 4
direct
0.0000 0.0000 0.0000 Zn
0.5000 0.5000 0.5000 Zn
0.0000 0.0000 0.5000 Sb
0.5000 0.5000 0.0000 Sb
0.0000 0.5000 0.2705 Pb
0.0000 0.5000 0.7295 Pb
0.5000 0.0000 0.2295 Pb
0.5000 0.0000 0.7705 Pb

***

Computed electronic total energy, in the same sequence as the records: -22.625 -97.111 -34.161 -8.635 -46.034 -28.730 -272.153 -27.064 eV per cell.